Below is crystalline CoRe2Pb at its relaxed geometry, with properties calculated at the PBE level.

Cell and atoms, written as POSCAR:
```
CoRe2Pb
1.0
3.087 -0.004 0.000
0.004 3.087 0.000
0.000 0.000 7.095
Co Pb Re
1 1 2
direct
0.500 0.500 0.250 Co
0.500 0.500 0.750 Pb
0.000 0.000 0.072 Re
0.000 0.000 0.428 Re
```

## Properties
formation energy from the elements	0.76	eV/atom
raw total energy	-32.682	eV for the cell shown